Record 1
5
Lattice="4.593 0.000 0.000 0.000 4.593 0.000 0.000 0.000 4.678" Properties=species:S:1:pos:R:3 comment="LaAl2ZnNi | the Alexandria database | PBE-GGA | relaxed" e_form_ev_per_atom=-0.377 sg="No. 123" pbc="T T T"
Ni 0.000 0.000 0.000
Zn 0.000 0.000 2.339
Al 0.000 2.297 0.000
Al 2.297 0.000 0.000
La 2.297 2.297 2.339

---

Record 2
4
Lattice="-3.745 -1.625 1.401 -2.426 -2.410 -2.633 0.326 -5.474 1.172" Properties=species:S:1:pos:R:3 comment="LaAlZnNi | the Alexandria database | PBE-GGA | relaxed" e_form_ev_per_atom=-0.429 sg="No. 160" pbc="T T T"
La -4.793 -6.423 -0.317
Al -1.735 -1.903 -0.197
Zn 0.254 -5.350 1.125
Ni -3.783 -3.265 -0.602

---

Record 3
12
Lattice="-4.598 -0.536 1.179 0.025 -4.247 2.203 1.270 3.379 6.516" Properties=species:S:1:pos:R:3 comment="LaNpAl2O8 | the Alexandria database | PBE-GGA | relaxed" e_form_raw_ev_per_atom=-2.83 sg="No. 12" pbc="T T T"
La 0.635 1.690 3.258
Np 0.000 0.000 0.000
Al -1.422 -0.094 6.117
Al -1.880 -1.309 3.781
O -0.752 -2.625 3.439
O -3.455 -3.618 2.563
O -3.247 -0.630 2.891
O -2.550 1.222 6.459
O 0.153 2.215 7.335
O -0.055 -0.773 7.007
O -2.419 -1.509 5.519
O -0.883 0.106 4.379

---

Record 4
20
Lattice="-1.431 -0.296 -3.019 3.151 -9.968 -0.515 -8.927 -3.056 4.531" Properties=species:S:1:pos:R:3 comment="La2NpAl2Ru5 | the Alexandria database | PBE-GGA | relaxed" e_form_ev_per_atom=-0.320 sg="No. 127" pbc="T T T"
La 0.589 -7.209 0.428
La -6.365 -5.816 3.588
La -2.401 -2.709 1.404
La -3.376 -10.316 2.612
Np 0.000 0.000 0.000
Np -2.888 -6.512 2.008
Al -5.193 -3.173 2.773
Al -0.583 -9.851 1.243
Al -5.826 -8.913 3.636
Al 0.050 -4.111 0.380
Ru -0.667 -2.332 -1.318
Ru -6.540 -10.989 2.315
Ru -7.660 -3.242 2.086
Ru -2.397 -8.448 0.102
Ru 0.453 -10.078 -1.089
Ru -4.810 -4.873 0.895
Ru -5.177 -7.916 1.368
Ru -2.030 -5.405 -0.371
Ru 0.860 -5.132 -1.767
Ru -5.179 -1.676 0.756

---

Record 5
12
Lattice="-3.441 0.361 1.565 0.654 -3.065 2.144 5.309 7.259 5.394" Properties=species:S:1:pos:R:3 comment="La3Al2O7 | the Alexandria database | PBE-GGA | relaxed" e_form_raw_ev_per_atom=-3.19 sg="No. 139" pbc="T T T"
La 2.456 3.705 4.547
La 0.066 0.850 4.557
La -1.394 -1.352 1.855
Al 0.743 1.120 1.375
Al 1.779 3.434 7.729
O 0.000 0.000 0.000
O 1.457 4.974 6.666
O 3.505 3.262 6.956
O 1.065 -0.420 2.438
O -0.983 1.293 2.148
O 1.510 2.279 2.796
O 1.011 2.276 6.307

---

Record 6
20
Lattice="-0.477 4.326 -3.866 -12.538 2.080 3.876 2.369 4.805 5.084" Properties=species:S:1:pos:R:3 comment="La3AlO | the Alexandria database | PBE-GGA | relaxed" e_form_raw_ev_per_atom=-1.16 sg="No. 62" pbc="T T T"
Al 1.184 2.402 2.542
Al -6.508 3.203 0.005
Al -0.239 2.163 -1.933
Al -5.085 3.442 4.480
O -1.994 5.800 1.825
O -9.629 6.078 -0.246
O -8.653 5.411 3.269
O -1.018 5.132 5.340
La -9.060 6.204 8.025
La -4.210 4.889 1.644
La -0.632 4.295 0.538
La -5.165 5.600 -1.825
La -1.587 5.007 -2.931
La -6.437 6.321 3.450
La -10.015 6.915 4.556
La -5.483 5.610 6.919
La -1.211 6.963 3.734
La -8.445 3.610 4.908
La -9.436 4.247 1.361
La -2.202 7.600 0.186

---

Record 7
5
Lattice="-1.733 4.301 3.903 -4.499 -1.787 -3.647 2.770 -4.648 2.732" Properties=species:S:1:pos:R:3 comment="La3AlO | the Alexandria database | PBE-GGA | relaxed" e_form_raw_ev_per_atom=-0.98 sg="No. 160" pbc="T T T"
Al -1.980 -1.220 1.709
O -0.731 -0.450 0.631
La -0.334 -0.819 4.971
La -2.054 -4.604 0.276
La -4.854 0.961 1.004

---

Record 8
13
Lattice="-4.248 1.011 3.614 -2.437 -4.295 2.782 2.008 -0.399 6.918" Properties=species:S:1:pos:R:3 comment="La3Al2O8 | the Alexandria database | PBE-GGA | relaxed" e_form_raw_ev_per_atom=-3.03 sg="No. 166" pbc="T T T"
La 0.000 0.000 0.000
La -4.129 -2.864 9.285
La -0.548 -0.819 4.030
Al -3.512 -2.034 5.332
Al -1.165 -1.649 7.983
O -2.661 -2.623 10.943
O -2.017 -1.060 2.372
O -2.124 -3.059 4.966
O -3.054 -0.331 5.393
O -4.307 -2.539 6.824
O -1.623 -3.351 7.921
O -2.554 -0.624 8.348
O -0.370 -1.144 6.491

---

Record 9
10
Lattice="17.882 0.000 -0.574 6.532 2.699 -2.989 -6.532 2.699 2.989" Properties=species:S:1:pos:R:3 comment="La3AlO | the Alexandria database | PBE-GGA | relaxed" e_form_raw_ev_per_atom=-1.19 sg="No. 12" pbc="T T T"
Al 3.764 2.699 2.645
Al 14.119 2.699 -3.219
O 4.180 2.699 -1.804
O 13.703 2.699 1.230
La 8.904 2.699 -1.812
La 8.979 2.699 1.237
La -1.977 2.699 0.941
La 19.859 2.699 -1.516
La 12.105 2.699 -0.517
La 5.777 2.699 -0.058

---

Record 10
10
Lattice="-4.519 3.581 -0.822 -4.080 -5.095 -2.328 -2.749 -1.911 6.038" Properties=species:S:1:pos:R:3 comment="La3AlO | the Alexandria database | PBE-GGA | relaxed" e_form_raw_ev_per_atom=-1.18 sg="No. 2" pbc="T T T"
Al -7.492 -3.406 1.646
Al -2.942 -2.686 -0.820
O -6.779 0.547 2.404
O -4.095 2.038 -0.074
La -6.680 -1.499 4.232
La -4.701 -0.076 1.664
La -6.289 -2.269 -1.313
La -1.654 -0.921 1.489
La -4.145 -3.824 2.139
La -6.503 -6.505 2.632

---

Record 11
14
Lattice="5.160 -0.083 0.000 -2.600 4.458 0.000 0.000 0.000 8.410" Properties=species:S:1:pos:R:3 comment="LaAl2O4 | the Alexandria database | PBE-GGA | relaxed" de_polymorph_ev_per_atom=0.162 e_form_raw_ev_per_atom=-2.78 sg="No. 66" pbc="T T T"
La 1.280 2.187 2.103
La 1.280 2.187 6.308
Al -1.002 3.504 0.000
Al 3.561 0.871 0.000
Al -0.986 3.531 4.205
Al 3.545 0.843 4.205
O 0.867 3.533 0.000
O 1.693 0.842 0.000
O -0.095 1.888 4.205
O 2.655 2.486 4.205
O 2.580 -0.042 2.925
O -1.300 2.229 1.280
O 2.580 -0.042 5.485
O -1.300 2.229 7.130